VASP calculation (SCAN) on a crystal of BeTlAs2 relaxed with PBEsol.

The crystal system is orthorhombic. As for the energy of formation from the pure elements: 385.1 meV/atom.

a = 2.857 Å, b = 5.576 Å, c = 5.809 Å
α = 118.68°, β = 104.24°, γ = 90.00°
Fractional coordinates of all 4 atoms:
Be: 0.500 0.000 0.000
Tl: 0.000 0.500 0.000
As: 0.809 0.809 0.618
As: 0.191 0.191 0.382